No. 1
Entry from Alexandria via LeMat-Bulk: NaPRuAu2 after structural relaxation (PBE-GGA).

```
5
Lattice="4.783 0.000 0.000 0.000 4.783 0.000 0.000 0.000 4.428" Properties=species:S:1:pos:R:3 pbc="T T T"
Na 0.000 0.000 0.000
P 2.392 2.392 2.214
Ru 2.392 2.392 0.000
Au 0.000 2.392 2.214
Au 2.392 0.000 2.214
```

Values from the calculation:
For the uncorrected energy, the calculation gives -4.338 eV per atom. Its density of states at the Fermi level is 0.724 states/eV/atom. As for the formation energy: 0.174 eV/atom. As for the space-group type: P4/mmm. The value obtained for the total moment is 0.65 μB/f.u.

---

No. 2
Entry from Alexandria via LeMat-Bulk: CsCaAl2P after structural relaxation (PBE-GGA).

```
5
Lattice="5.889 0.000 0.000 0.000 5.889 0.000 0.000 0.000 5.405" Properties=species:S:1:pos:R:3 pbc="T T T"
Cs 0.000 0.000 0.000
Ca 2.944 2.944 2.702
Al 0.000 2.944 2.702
Al 2.944 0.000 2.702
P 2.944 2.944 0.000
```

Values from the calculation:
For the uncorrected energy, the calculation gives -2.606 eV per atom. Its density of states at the Fermi level is 1.005 states/eV/atom. As for the formation energy: 0.544 eV/atom. As for the space-group type: P4/mmm. The value obtained for the total moment is 0.00 μB/f.u.

---

No. 3
Entry from Alexandria via LeMat-Bulk: LaMnHg2Pb after structural relaxation (PBE-GGA).

```
5
Lattice="5.608 0.000 0.000 0.000 5.608 0.000 0.000 0.000 5.097" Properties=species:S:1:pos:R:3 pbc="T T T"
La 0.000 0.000 0.000
Mn 2.804 2.804 0.000
Hg 0.000 2.804 2.548
Hg 2.804 0.000 2.548
Pb 2.804 2.804 2.548
```

Values from the calculation:
For the uncorrected energy, the calculation gives -3.189 eV per atom. Its density of states at the Fermi level is 1.039 states/eV/atom. As for the formation energy: 0.493 eV/atom. As for the space-group type: P4/mmm. The value obtained for the total moment is 3.63 μB/f.u.

---

No. 4
Entry from Alexandria via LeMat-Bulk: Sc12Cu3H5 after structural relaxation (PBE-GGA).

```
80
Lattice="-6.986 6.986 6.986 6.986 -6.986 6.986 6.986 6.986 -6.986" Properties=species:S:1:pos:R:3 pbc="T T T"
Sc 2.136 -0.543 0.807
Sc 8.344 4.301 -4.037
Sc 6.443 -0.807 2.136
Sc 11.023 -1.358 2.686
Sc 9.122 0.543 0.807
Sc 8.344 -2.686 4.037
Sc 0.807 2.136 -0.543
Sc 9.672 2.950 -1.358
Sc 4.301 4.037 -1.358
Sc 6.179 2.136 0.543
Sc -0.543 0.807 2.136
Sc 4.037 -1.358 4.301
Sc 6.443 6.179 -2.136
Sc 4.037 1.358 2.686
Sc 6.179 -2.136 6.443
Sc 4.301 -4.037 8.344
Sc 2.686 4.037 1.358
Sc 7.794 4.851 0.543
Sc 2.136 6.443 -0.807
Sc 8.344 2.686 2.950
Sc 4.037 8.344 -2.686
Sc 6.443 0.807 4.851
Sc 1.358 2.686 4.037
Sc 2.136 0.543 6.179
Sc 4.851 6.443 0.807
Sc 5.629 4.301 2.950
Sc 0.543 6.179 2.136
Sc 2.950 -1.358 9.672
Sc -1.358 4.301 4.037
Sc 4.851 0.543 7.794
Sc -0.807 2.136 6.443
Sc 4.301 2.950 5.629
Sc 2.686 11.023 -1.358
Sc 0.807 9.122 0.543
Sc 2.950 5.629 4.301
Sc 0.543 0.807 9.122
Sc 2.950 8.344 2.686
Sc 7.530 6.179 4.851
Sc 0.807 4.851 6.443
Sc 2.686 2.950 8.344
Sc -2.686 4.037 8.344
Sc 6.179 4.851 7.530
Sc -1.358 9.672 2.950
Sc -2.136 6.443 6.179
Sc -4.037 8.344 4.301
Sc 0.543 7.794 4.851
Sc -1.358 2.686 11.023
Sc 4.851 7.530 6.179
Cu 3.493 1.747 0.000
Cu 6.986 3.493 -1.747
Cu 1.747 0.000 3.493
Cu 8.733 0.000 3.493
Cu 0.000 3.493 1.747
Cu 3.493 -1.747 6.986
Cu 3.493 8.733 0.000
Cu 6.986 3.493 5.240
Cu -1.747 6.986 3.493
Cu 5.240 6.986 3.493
Cu 0.000 3.493 8.733
Cu 3.493 5.240 6.986
H 0.000 0.000 0.000
H 3.493 3.493 -3.493
H 3.493 -3.493 3.493
H 6.986 0.000 0.000
H 10.480 1.747 0.000
H 6.986 -3.493 5.240
H 5.240 6.986 -3.493
H 5.240 0.000 3.493
H 3.493 5.240 0.000
H 6.986 3.493 1.747
H -3.493 3.493 3.493
H 0.000 6.986 0.000
H 0.000 0.000 6.986
H 3.493 3.493 3.493
H 0.000 3.493 5.240
H 3.493 1.747 6.986
H 1.747 6.986 3.493
H 1.747 0.000 10.480
H 0.000 10.480 1.747
H -3.493 5.240 6.986
```

Values from the calculation:
For the uncorrected energy, the calculation gives -5.478 eV per atom. Its density of states at the Fermi level is 0.991 states/eV/atom. As for the space-group type: Ia-3d. The value obtained for the total moment is 0.00 μB/f.u.

---

No. 5
Entry from Alexandria via LeMat-Bulk: HoPaPt2 after structural relaxation (PBE-GGA).

```
4
Lattice="0.000 3.504 3.504 3.504 0.000 3.504 3.504 3.504 0.000" Properties=species:S:1:pos:R:3 pbc="T T T"
Ho 0.000 0.000 0.000
Pa 3.504 3.504 3.504
Pt 1.752 1.752 1.752
Pt 5.256 5.256 5.256
```

Values from the calculation:
For the offset from the most stable computed form, the calculation gives 30 kJ/mol of formula units. For the uncorrected energy, the calculation gives -7.494 eV per atom. Its density of states at the Fermi level is 1.433 states/eV/atom. As for the formation energy: -0.955 eV/atom. As for the space-group type: Fm-3m. The value obtained for the total moment is 0.59 μB/f.u.

---

No. 6
Entry from Alexandria via LeMat-Bulk: Cu2Pd3Rh after structural relaxation (PBE-GGA).

```
6
Lattice="2.785 0.000 0.000 0.000 2.785 0.000 0.000 0.000 10.976" Properties=species:S:1:pos:R:3 pbc="T T T"
Cu 0.000 0.000 1.770
Cu 0.000 0.000 9.206
Pd 1.392 1.392 0.000
Pd 1.392 1.392 3.552
Pd 1.392 1.392 7.424
Rh 0.000 0.000 5.488
```

Values from the calculation:
For the uncorrected energy, the calculation gives -5.213 eV per atom. Its density of states at the Fermi level is 1.095 states/eV/atom. As for the formation energy: -0.026 eV/atom. As for the space-group type: P4/mmm. The value obtained for the total moment is 1.75 μB/f.u.

---

Copy entry 6 word for word.
Entry from Alexandria via LeMat-Bulk: Cu2Pd3Rh after structural relaxation (PBE-GGA).

```
6
Lattice="2.785 0.000 0.000 0.000 2.785 0.000 0.000 0.000 10.976" Properties=species:S:1:pos:R:3 pbc="T T T"
Cu 0.000 0.000 1.770
Cu 0.000 0.000 9.206
Pd 1.392 1.392 0.000
Pd 1.392 1.392 3.552
Pd 1.392 1.392 7.424
Rh 0.000 0.000 5.488
```

Values from the calculation:
For the uncorrected energy, the calculation gives -5.213 eV per atom. Its density of states at the Fermi level is 1.095 states/eV/atom. As for the formation energy: -0.026 eV/atom. As for the space-group type: P4/mmm. The value obtained for the total moment is 1.75 μB/f.u.

---

uncorrected energy of number 3 (LaMnHg2Pb)?
-3.189 eV per atom

---

What is the formula in the fourth record?
Sc12Cu3H5